[1]
## BaH2RuI (meta-GGA SCAN)

Data for BaH2RuI at its PBEsol-relaxed geometry.

abc: 4.422 4.422 5.598
angles: 90.00 90.00 90.00
Fractional coordinates of all 5 atoms:
Ba (0.000, 0.000, 0.500)
I (0.500, 0.500, 0.500)
H (0.000, 0.500, 0.000)
H (0.500, 0.000, 0.000)
Ru (0.000, 0.000, 0.000)

SG: P4/mmm (123)


[2]
## CdAg2Rh (meta-GGA SCAN)

Data for CdAg2Rh at its PBEsol-relaxed geometry.

abc: 4.169 4.169 4.752
angles: 116.02 116.02 90.00
Fractional coordinates of all 4 atoms:
Rh (0.250, 0.750, 0.500)
Ag (0.500, 0.500, 0.000)
Ag (0.750, 0.250, 0.500)
Cd (0.000, 0.000, 0.000)

Formation energy, eV/atom: 0.03
SG: I-4m2 (119)


[3]
## AsSeCl3F6 (meta-GGA SCAN)

Data for AsSeCl3F6 at its PBEsol-relaxed geometry.

abc: 7.637 9.524 11.819
angles: 90.00 98.30 90.00
Fractional coordinates of all 44 atoms:
Cl (0.287, 0.568, 0.347)
Cl (0.404, 0.660, 0.102)
Cl (0.596, 0.340, 0.898)
Cl (0.596, 0.160, 0.398)
Cl (0.287, 0.932, 0.847)
Cl (0.783, 0.111, 0.753)
Cl (0.217, 0.611, 0.747)
Cl (0.217, 0.889, 0.247)
Cl (0.713, 0.432, 0.653)
Cl (0.783, 0.389, 0.253)
Cl (0.713, 0.068, 0.153)
Cl (0.404, 0.840, 0.602)
F (0.977, 0.276, 0.499)
F (0.614, 0.817, 0.341)
F (0.908, 0.934, 0.389)
F (0.271, 0.106, 0.046)
F (0.908, 0.566, 0.889)
F (0.111, 0.197, 0.201)
F (0.023, 0.724, 0.501)
F (0.386, 0.317, 0.159)
F (0.752, 0.656, 0.045)
F (0.092, 0.066, 0.611)
F (0.977, 0.224, 0.999)
F (0.614, 0.683, 0.841)
F (0.248, 0.344, 0.955)
F (0.386, 0.183, 0.659)
F (0.111, 0.303, 0.701)
F (0.023, 0.776, 0.001)
F (0.889, 0.803, 0.799)
F (0.729, 0.894, 0.954)
F (0.248, 0.156, 0.455)
F (0.889, 0.697, 0.299)
F (0.752, 0.844, 0.545)
F (0.729, 0.606, 0.454)
F (0.092, 0.434, 0.111)
F (0.271, 0.394, 0.546)
As (0.815, 0.731, 0.922)
As (0.185, 0.231, 0.578)
As (0.815, 0.769, 0.422)
As (0.185, 0.269, 0.078)
Se (0.817, 0.325, 0.806)
Se (0.183, 0.825, 0.694)
Se (0.817, 0.175, 0.306)
Se (0.183, 0.675, 0.194)

Raw formation energy, eV/atom: -1.56
SG: P2_1/c (14)


[4]
## NiBPdS2 (meta-GGA SCAN)

Data for NiBPdS2 at its PBEsol-relaxed geometry.

abc: 4.147 4.147 4.824
angles: 90.00 90.00 90.00
Fractional coordinates of all 5 atoms:
S (0.000, 0.500, 0.000)
S (0.500, 0.000, 0.000)
B (0.500, 0.500, 0.500)
Ni (0.000, 0.000, 0.000)
Pd (0.000, 0.000, 0.500)

Raw formation energy, eV/atom: 1.22
SG: P4/mmm (123)


The records above yield calculated total energy values of -1.70791 -2.32993 -0.68533 -1.02203 Ry per atom, respectively.